--- a ---
Density functional theory data (PBE-GGA) for an optimized crystal structure of Si3BiC.

Cell lengths 4.3475, 4.3475, 4.3475 Å; angles 90.00, 90.00, 90.00 degrees
Fractional coordinates of all 5 atoms:
Si 0.0000 0.0000 0.5000
Si 0.0000 0.5000 0.0000
Si 0.5000 0.0000 0.0000
Bi 0.5000 0.5000 0.5000
C 0.0000 0.0000 0.0000

Spin magnetization in μB/cell: 0.00
Space-group type: No. 221

***

--- b ---
Density functional theory data (PBE-GGA) for an optimized crystal structure of Si3BiC.

Cell lengths 5.4562, 5.4562, 5.4562 Å; angles 90.00, 90.00, 90.00 degrees
Last column: magnetic moment on the atom in μB.
Fractional coordinates of all 5 atoms:
Bi 0.0000 0.0000 0.0000  0.01
Si 0.0000 0.0000 0.5000  -0.06
Si 0.5000 0.0000 0.0000  -0.12
Si 0.0000 0.5000 0.0000  -0.06
C 0.5000 0.5000 0.5000  0.85

Spin magnetization in μB/cell: 1.00
Space-group type: No. 221

***

Most stable structure, least stable structure: a, b.

***

--- a ---
Density functional theory data (PBE-GGA) for an optimized crystal structure of SiBi2C.

Cell lengths 4.8946, 4.8946, 4.8946 Å; angles 60.00, 60.00, 60.00 degrees
Fractional coordinates of all 4 atoms:
Bi 0.2500 0.2500 0.2500
Bi 0.7500 0.7500 0.7500
Si 0.5000 0.5000 0.5000
C 0.0000 0.0000 0.0000

Spin magnetization in μB/cell: 0.00
Space-group type: No. 225

***

--- b ---
Density functional theory data (PBE-GGA) for an optimized crystal structure of SiBi2C.

Cell lengths 6.5615, 6.5615, 6.5542 Å; angles 59.96, 59.96, 90.00 degrees
Fractional coordinates of all 8 atoms:
C 0.5000 0.5000 0.0000
C 0.2500 0.7500 0.5000
Bi 0.1809 0.6250 0.2500
Bi 0.3750 0.4309 0.7500
Bi 0.8750 0.8191 0.7500
Bi 0.5691 0.1250 0.2500
Si 0.0000 0.0000 0.0000
Si 0.7500 0.2500 0.5000

Spin magnetization in μB/cell: 0.00
Space-group type: No. 122

***

Most stable structure, least stable structure: b, a.

***

--- a ---
Density functional theory data (PBE-GGA) for an optimized crystal structure of Sm3BiC.

Cell lengths 5.0039, 4.9531, 11.4944 Å; angles 90.00, 102.50, 90.00 degrees
Fractional coordinates of all 10 atoms:
Sm 0.3209 0.7500 0.1393
Sm 0.0673 0.2500 0.6356
Sm 0.6791 0.2500 0.8607
Sm 0.4447 0.2500 0.3885
Sm 0.5553 0.7500 0.6115
Sm 0.9327 0.7500 0.3644
C 0.4266 0.7500 0.3519
C 0.5734 0.2500 0.6481
Bi 0.8306 0.2500 0.1586
Bi 0.1694 0.7500 0.8414

Spin magnetization in μB/cell: 0.00
Space-group type: No. 11

***

--- b ---
Density functional theory data (PBE-GGA) for an optimized crystal structure of Sm3BiC.

Cell lengths 5.0531, 5.0531, 5.0531 Å; angles 90.00, 90.00, 90.00 degrees
Fractional coordinates of all 5 atoms:
Sm 0.0000 0.0000 0.5000
Sm 0.5000 0.0000 0.0000
Sm 0.0000 0.5000 0.0000
Bi 0.5000 0.5000 0.5000
C 0.0000 0.0000 0.0000

Spin magnetization in μB/cell: 0.00
Space-group type: No. 221

***

Most stable structure, least stable structure: b, a.

***

--- a ---
Density functional theory data (PBE-GGA) for an optimized crystal structure of SnBiC3.

Cell lengths 4.3570, 4.3570, 4.3570 Å; angles 90.00, 90.00, 90.00 degrees
Last column: magnetic moment on the atom in μB.
Fractional coordinates of all 5 atoms:
C 0.0000 0.5000 0.0000  0.28
C 0.0000 0.0000 0.5000  0.25
C 0.5000 0.0000 0.0000  0.21
Bi 0.5000 0.5000 0.5000  -0.09
Sn 0.0000 0.0000 0.0000  0.00

Spin magnetization in μB/cell: 1.30
Space-group type: No. 221

***

--- b ---
Density functional theory data (PBE-GGA) for an optimized crystal structure of SnBiC3.

Cell lengths 4.5398, 4.5398, 4.5398 Å; angles 90.00, 90.00, 90.00 degrees
Last column: magnetic moment on the atom in μB.
Fractional coordinates of all 5 atoms:
C 0.0000 0.0000 0.5000  0.28
C 0.5000 0.0000 0.0000  0.28
C 0.0000 0.5000 0.0000  0.35
Bi 0.0000 0.0000 0.0000  0.02
Sn 0.5000 0.5000 0.5000  -0.01

Spin magnetization in μB/cell: 1.71
Space-group type: No. 221

***

Most stable structure, least stable structure: a, b.

***

--- a ---
Density functional theory data (PBE-GGA) for an optimized crystal structure of Sn3BiC.

Cell lengths 5.9725, 5.9725, 5.9725 Å; angles 90.00, 90.00, 90.00 degrees
Last column: magnetic moment on the atom in μB.
Fractional coordinates of all 5 atoms:
Sn 0.5000 0.0000 0.0000  -0.12
Sn 0.0000 0.0000 0.5000  -0.07
Sn 0.0000 0.5000 0.0000  -0.06
C 0.5000 0.5000 0.5000  0.94
Bi 0.0000 0.0000 0.0000  0.03

Spin magnetization in μB/cell: 1.47
Space-group type: No. 221

***

--- b ---
Density functional theory data (PBE-GGA) for an optimized crystal structure of Sn3BiC.

Cell lengths 4.9426, 4.9426, 4.9426 Å; angles 90.00, 90.00, 90.00 degrees
Fractional coordinates of all 5 atoms:
C 0.0000 0.0000 0.0000
Sn 0.5000 0.0000 0.0000
Sn 0.0000 0.5000 0.0000
Sn 0.0000 0.0000 0.5000
Bi 0.5000 0.5000 0.5000

Spin magnetization in μB/cell: 0.00
Space-group type: No. 221

***

Most stable structure, least stable structure: b, a.

***

--- a ---
Density functional theory data (PBE-GGA) for an optimized crystal structure of Sn2BiC.

Cell lengths 6.5982, 6.5982, 6.5962 Å; angles 59.99, 59.99, 90.00 degrees
Fractional coordinates of all 8 atoms:
Sn 0.3750 0.4757 0.7500
Sn 0.8750 0.7743 0.7500
Sn 0.2257 0.6250 0.2500
Sn 0.5243 0.1250 0.2500
C 0.2500 0.7500 0.5000
C 0.5000 0.5000 0.0000
Bi 0.0000 0.0000 0.0000
Bi 0.7500 0.2500 0.5000

Spin magnetization in μB/cell: 0.00
Space-group type: No. 122

***

--- b ---
Density functional theory data (PBE-GGA) for an optimized crystal structure of Sn2BiC.

Cell lengths 5.1266, 5.1266, 5.1266 Å; angles 60.00, 60.00, 60.00 degrees
Fractional coordinates of all 4 atoms:
Sn 0.7500 0.7500 0.7500
Sn 0.2500 0.2500 0.2500
C 0.0000 0.0000 0.0000
Bi 0.5000 0.5000 0.5000

Spin magnetization in μB/cell: 0.00
Space-group type: No. 225

***

Most stable structure, least stable structure: a, b.